KCrAg2Os | PBE | relaxed

Output
energy = -22.4 eV per cell

Cell: 5.216 4.440 5.216 Å, 90.00 90.00 90.00°
Site moments in Bohr magnetons follow the coordinates.
Element x y z (fractional)
Cr 0.000 0.000 0.000  2.41
K 0.500 0.500 0.500  0.00
Os 0.000 0.500 0.000  -0.78
Ag 0.000 0.000 0.500  0.08
Ag 0.500 0.000 0.000  0.04



KCrAgP | PBE | relaxed

Output
energy = -39.8 eV per cell

Cell: 3.971 3.971 12.256 Å, 90.00 90.00 90.00°
Site moments in Bohr magnetons follow the coordinates.
Element x y z (fractional)
K 0.750 0.750 0.256  0.00
K 0.250 0.250 0.744  0.00
Cr 0.750 0.250 0.000  2.21
Cr 0.250 0.750 0.000  2.21
Ag 0.250 0.750 0.500  0.00
Ag 0.750 0.250 0.500  0.00
P 0.750 0.750 0.901  -0.10
P 0.250 0.250 0.099  -0.10



> Look up the energy of the second one.

-39.8 eV per cell